Compound: CaTaCoF2
Source: Alexandria via LeMat-Bulk
Functional: PBE with a Hubbard U
Structure: optimized geometry

Cell lengths 4.124, 4.124, 6.744 Å; angles 90.00, 90.00, 90.00 degrees
Positions (direct):
1 Ca 0.000 0.000 0.000
2 Ta 0.000 0.000 0.500
3 Co 0.500 0.500 0.000
4 F 0.000 0.500 0.500
5 F 0.500 0.000 0.500

Values from the calculation:
Total magnetization: 0.73 μB/atom
Volume: 22.9 A^3/atom
Raw total energy: -0.188 hartree per atom